First-principles (PBE-GGA) data for an optimized crystal structure of LaTl2Re, as listed in the Alexandria database.

Computed properties:
final energy	-4.814	eV per atom
energy of formation from the pure elements	0.71	eV per atom
DOS at the Fermi energy	3.916	states/eV/cell
space-group type	Cmmm

a = 6.0508 Å, b = 6.0508 Å, c = 3.0544 Å
α = 90.00°, β = 90.00°, γ = 119.56°
Last column: nearest neighbours and their distance in Å.
Fractional coordinates of all 4 atoms:
La (0.5000, 0.0000, 0.5000)  2 Re 3.05, 2 La 3.05, 8 Tl 3.39
Re (0.0000, 0.5000, 0.5000)  2 La 3.05, 2 Re 3.05, 8 Tl 3.39
Tl (0.0000, 0.0000, 0.0000)  4 Tl 3.05, 4 Re 3.39, 4 La 3.39
Tl (0.5000, 0.5000, 0.0000)  4 Tl 3.05, 4 La 3.39, 4 Re 3.39

First-principles (PBE-GGA) data for an optimized crystal structure of LaTl2Re, as listed in the Alexandria database.

Computed properties:
final energy	-4.979	eV per atom
energy of formation from the pure elements	0.55	eV per atom
DOS at the Fermi energy	4.227	states/eV/cell
space-group type	P4/mmm

a = 4.9919 Å, b = 4.4605 Å, c = 4.4605 Å
α = 90.00°, β = 90.00°, γ = 90.00°
Last column: nearest neighbours and their distance in Å.
Fractional coordinates of all 4 atoms:
La (0.5000, 0.5000, 0.0000)  4 Re 3.15, 8 Tl 3.35
Re (0.5000, 0.0000, 0.5000)  4 La 3.15, 8 Tl 3.35
Tl (0.0000, 0.0000, 0.0000)  4 Tl 3.15, 4 La 3.35, 4 Re 3.35
Tl (0.0000, 0.5000, 0.5000)  4 Tl 3.15, 4 La 3.35, 4 Re 3.35

First-principles (PBE-GGA) data for an optimized crystal structure of LaTl2Re, as listed in the Alexandria database.

Computed properties:
final energy	-5.031	eV per atom
energy of formation from the pure elements	0.50	eV per atom
DOS at the Fermi energy	3.679	states/eV/cell
space-group type	P4/mmm

a = 3.4925 Å, b = 3.4925 Å, c = 7.7242 Å
α = 90.00°, β = 90.00°, γ = 90.00°
Last column: nearest neighbours and their distance in Å.
Fractional coordinates of all 4 atoms:
La (0.5000, 0.5000, 0.2500)  8 Tl 3.36, 4 La 3.49
Re (0.5000, 0.5000, 0.7500)  8 Tl 2.93
Tl (0.0000, 0.0000, 0.9547)  4 Re 2.93, 1 Tl 3.16
Tl (0.0000, 0.0000, 0.5453)  4 Re 2.93, 1 Tl 3.16